(1)
18
Lattice="2.2544 -9.8368 0.0000 2.2544 9.8368 0.0000 0.0000 0.0000 13.7494" Properties=species:S:1:pos:R:3 comment="PBE AcLa2MgTe5, relaxed" e_tot_ev_per_atom=-4.8377 m_tot_mub_per_cell=0.0 e_form_raw_kj_per_mol_atoms=-131.58 pbc="T T T"
Ac 2.2544 5.7925 6.8747
Ac 2.2544 -5.7925 0.0000
La 2.2544 7.6859 2.3882
La 2.2544 7.3405 10.9652
La 2.2544 -7.3405 4.0905
La 2.2544 -7.6859 9.2629
Mg 2.2544 0.9126 12.9968
Mg 2.2544 -0.9126 6.1221
Te 2.2544 8.9548 7.7175
Te 2.2544 4.2006 2.4059
Te 2.2544 3.4850 11.4198
Te 2.2544 2.5257 6.7432
Te 2.2544 0.1119 3.5975
Te 2.2544 -0.1119 10.4722
Te 2.2544 -2.5257 13.6179
Te 2.2544 -3.4850 4.5451
Te 2.2544 -4.2006 9.2806
Te 2.2544 -8.9548 0.8427

(2)
16
Lattice="8.2026 0.0000 0.0000 0.0000 8.2026 0.0000 0.0000 0.0000 8.2026" Properties=species:S:1:pos:R:3 comment="PBE AcLaThMg, relaxed" ef_mev_per_atom=188 e_tot_ev_per_atom=-4.3247 m_tot_mub_per_cell=0.0 pbc="T T T"
Ac 0.0000 0.0000 0.0000
Ac 0.0000 4.1013 4.1013
Ac 4.1013 0.0000 4.1013
Ac 4.1013 4.1013 0.0000
La 2.0507 2.0507 2.0507
La 2.0507 6.1520 6.1520
La 6.1520 2.0507 6.1520
La 6.1520 6.1520 2.0507
Th 2.0507 2.0507 6.1520
Th 2.0507 6.1520 2.0507
Th 6.1520 2.0507 2.0507
Th 6.1520 6.1520 6.1520
Mg 0.0000 0.0000 4.1013
Mg 0.0000 4.1013 0.0000
Mg 4.1013 0.0000 0.0000
Mg 4.1013 4.1013 4.1013

(3)
8
Lattice="2.7169 1.5686 9.8277 -2.7169 1.5686 9.8277 0.0000 -3.1373 9.8277" Properties=species:S:1:pos:R:3 comment="PBE AcLa2MgTl4, relaxed" ef_mev_per_atom=-339 e_tot_ev_per_atom=-3.4666 m_tot_mub_per_cell=0.0 pbc="T T T"
Ac 0.0000 0.0000 0.0000
La 0.0000 0.0000 6.9812
La 0.0000 0.0000 22.5018
Mg 0.0000 0.0000 14.7415
Tl 0.0000 0.0000 3.6925
Tl 0.0000 0.0000 11.2867
Tl 0.0000 0.0000 18.1963
Tl 0.0000 0.0000 25.7905

(4)
4
Lattice="3.8354 0.0000 0.0000 0.0000 3.8354 0.0000 0.0000 0.0000 9.1684" Properties=species:S:1:pos:R:3 comment="PBE AcLaTmMg, relaxed" ef_mev_per_atom=-13 e_tot_ev_per_atom=-3.7886 m_tot_mub_per_cell=0.0 pbc="T T T"
Ac 0.0000 0.0000 0.0000
La 1.9177 1.9177 6.4337
Tm 1.9177 1.9177 2.5244
Mg 0.0000 0.0000 4.3124

(5)
16
Lattice="8.1665 0.0000 0.0000 0.0000 8.1665 0.0000 0.0000 0.0000 8.1665" Properties=species:S:1:pos:R:3 comment="PBE AcLaTmMg, relaxed" ef_mev_per_atom=16 e_tot_ev_per_atom=-3.7598 m_tot_mub_per_cell=0.0 pbc="T T T"
Ac 0.0000 0.0000 0.0000
Ac 0.0000 4.0833 4.0833
Ac 4.0833 0.0000 4.0833
Ac 4.0833 4.0833 0.0000
La 0.0000 0.0000 4.0833
La 0.0000 4.0833 0.0000
La 4.0833 0.0000 0.0000
La 4.0833 4.0833 4.0833
Tm 2.0416 2.0416 6.1249
Tm 2.0416 6.1249 2.0416
Tm 6.1249 2.0416 2.0416
Tm 6.1249 6.1249 6.1249
Mg 2.0416 2.0416 2.0416
Mg 2.0416 6.1249 6.1249
Mg 6.1249 2.0416 6.1249
Mg 6.1249 6.1249 2.0416

(6)
16
Lattice="8.2122 0.0000 0.0000 0.0000 8.2122 0.0000 0.0000 0.0000 8.2122" Properties=species:S:1:pos:R:3 comment="PBE AcLaYMg, relaxed" ef_mev_per_atom=101 e_tot_ev_per_atom=-4.1723 m_tot_mub_per_cell=0.1 pbc="T T T"
Ac 0.0000 0.0000 0.0000
Ac 0.0000 4.1061 4.1061
Ac 4.1061 0.0000 4.1061
Ac 4.1061 4.1061 0.0000
La 2.0530 2.0530 6.1591
La 2.0530 6.1591 2.0530
La 6.1591 2.0530 2.0530
La 6.1591 6.1591 6.1591
Y 2.0530 2.0530 2.0530
Y 2.0530 6.1591 6.1591
Y 6.1591 2.0530 6.1591
Y 6.1591 6.1591 2.0530
Mg 0.0000 0.0000 4.1061
Mg 0.0000 4.1061 0.0000
Mg 4.1061 0.0000 0.0000
Mg 4.1061 4.1061 4.1061

(7)
4
Lattice="3.8578 0.0000 0.0000 0.0000 3.8578 0.0000 0.0000 0.0000 9.2028" Properties=species:S:1:pos:R:3 comment="PBE AcLaYMg, relaxed" ef_mev_per_atom=-34 e_tot_ev_per_atom=-4.3074 m_tot_mub_per_cell=0.0 pbc="T T T"
Ac 0.0000 0.0000 0.0000
La 1.9289 1.9289 6.5033
Y 1.9289 1.9289 2.5702
Mg 0.0000 0.0000 4.3965

(8)
4
Lattice="3.9121 0.0000 0.0000 0.0000 3.9121 0.0000 0.0000 0.0000 7.9798" Properties=species:S:1:pos:R:3 comment="PBE AcLaMgZn, relaxed" ef_mev_per_atom=-183 e_tot_ev_per_atom=-3.1596 m_tot_mub_per_cell=0.0 pbc="T T T"
Ac 0.0000 0.0000 0.0000
La 0.0000 0.0000 3.6473
Mg 1.9561 1.9561 5.7042
Zn 1.9561 1.9561 1.9823